*i*
The following is a DFT calculation (PBE) of an optimized crystal structure of PmNd7Ho4.

## Properties
- crystal system = monoclinic
- N(E_F) (states/eV/cell) = 39.24

The structure in CIF format:
```
data_PmNd7Ho4
_chemical_formula_sum 'Pm2 Nd14 Ho8'
_cell_length_a 16.199
_cell_length_b 6.024
_cell_length_c 9.485
_cell_angle_alpha 90.00
_cell_angle_beta 116.76
_cell_angle_gamma 90.00
_symmetry_space_group_name_H-M 'C 1 2/m 1'
_symmetry_Int_Tables_number 12
_symmetry_space_group_name_Hall '-C 2y'
loop_
_atom_site_label
_atom_site_type_symbol
_atom_site_fract_x
_atom_site_fract_y
_atom_site_fract_z
_atom_site_occupancy
Pm1 Pm 0.000 0.000 0.000 1
Nd1 Nd 0.000 0.500 0.000 1
Nd2 Nd 0.086 0.000 0.451 1
Nd3 Nd 0.213 0.000 0.240 1
Nd4 Nd 0.214 0.000 0.885 1
Ho1 Ho 0.071 0.500 0.698 1
Ho2 Ho 0.169 0.500 0.382 1
```

---

*ii*
The following is a DFT calculation (PBE) of an optimized crystal structure of PmNd7Ho4.

## Properties
- crystal system = triclinic
- N(E_F) (states/eV/cell) = 15.34

The structure in CIF format:
```
data_PmNd7Ho4
_chemical_formula_sum 'Pm1 Nd7 Ho4'
_cell_length_a 6.335
_cell_length_b 7.309
_cell_length_c 9.011
_cell_angle_alpha 89.99
_cell_angle_beta 76.46
_cell_angle_gamma 89.98
_symmetry_space_group_name_H-M 'P -1'
_symmetry_Int_Tables_number 2
_symmetry_space_group_name_Hall '-P 1'
loop_
_atom_site_label
_atom_site_type_symbol
_atom_site_fract_x
_atom_site_fract_y
_atom_site_fract_z
_atom_site_occupancy
Pm1 Pm 0.000 0.000 0.000 1
Nd1 Nd 0.000 0.500 0.000 1
Nd2 Nd 0.222 0.000 0.335 1
Nd3 Nd 0.280 0.252 0.664 1
Nd4 Nd 0.500 0.253 0.002 1
Ho1 Ho 0.219 0.500 0.336 1
Ho2 Ho 0.278 0.746 0.666 1
```

---

The most stable arrangement is *ii*, and the next structure is 201 meV/atom less stable.

---

*i*
The following is a DFT calculation (PBE) of an optimized crystal structure of Pm8Nd2Ho3.

## Properties
- crystal system = monoclinic
- N(E_F) (states/eV/cell) = 40.92

The structure in CIF format:
```
data_Pm8Nd2Ho3
_chemical_formula_sum 'Pm16 Nd4 Ho6'
_cell_length_a 20.721
_cell_length_b 7.703
_cell_length_c 5.686
_cell_angle_alpha 90.00
_cell_angle_beta 90.02
_cell_angle_gamma 90.00
_symmetry_space_group_name_H-M 'C 1 2/m 1'
_symmetry_Int_Tables_number 12
_symmetry_space_group_name_Hall '-C 2y'
loop_
_atom_site_label
_atom_site_type_symbol
_atom_site_fract_x
_atom_site_fract_y
_atom_site_fract_z
_atom_site_occupancy
Pm1 Pm 0.104 0.206 0.000 1
Pm2 Pm 0.130 0.500 0.500 1
Pm3 Pm 0.169 0.000 0.500 1
Nd1 Nd 0.240 0.500 0.999 1
Ho1 Ho 0.000 0.214 0.500 1
Ho2 Ho 0.000 0.500 0.000 1
```

---

*ii*
The following is a DFT calculation (PBE) of an optimized crystal structure of Pm8Nd2Ho3.

## Properties
- crystal system = triclinic
- N(E_F) (states/eV/cell) = 19.84

The structure in CIF format:
```
data_Pm8Nd2Ho3
_chemical_formula_sum 'Pm8 Nd2 Ho3'
_cell_length_a 6.276
_cell_length_b 6.282
_cell_length_c 11.472
_cell_angle_alpha 89.97
_cell_angle_beta 79.48
_cell_angle_gamma 80.40
_symmetry_space_group_name_H-M 'P -1'
_symmetry_Int_Tables_number 2
_symmetry_space_group_name_Hall '-P 1'
loop_
_atom_site_label
_atom_site_type_symbol
_atom_site_fract_x
_atom_site_fract_y
_atom_site_fract_z
_atom_site_occupancy
Pm1 Pm 0.039 0.079 0.349 1
Pm2 Pm 0.193 0.382 0.727 1
Pm3 Pm 0.346 0.692 0.118 1
Pm4 Pm 0.423 0.844 0.804 1
Nd1 Nd 0.116 0.231 0.039 1
Ho1 Ho 0.270 0.539 0.425 1
Ho2 Ho 0.500 0.000 0.500 1
```

---

The most stable arrangement is *ii*, and the next structure is 191 meV/atom less stable.

---

*i*
The following is a DFT calculation (PBE) of an optimized crystal structure of Pm8Nd3Ho2.

## Properties
- crystal system = monoclinic
- N(E_F) (states/eV/cell) = 44.77

The structure in CIF format:
```
data_Pm8Nd3Ho2
_chemical_formula_sum 'Pm16 Nd6 Ho4'
_cell_length_a 13.234
_cell_length_b 11.857
_cell_length_c 6.226
_cell_angle_alpha 90.00
_cell_angle_beta 113.41
_cell_angle_gamma 90.00
_symmetry_space_group_name_H-M 'C 1 2/m 1'
_symmetry_Int_Tables_number 12
_symmetry_space_group_name_Hall '-C 2y'
loop_
_atom_site_label
_atom_site_type_symbol
_atom_site_fract_x
_atom_site_fract_y
_atom_site_fract_z
_atom_site_occupancy
Pm1 Pm 0.055 0.000 0.285 1
Pm2 Pm 0.155 0.500 0.550 1
Pm3 Pm 0.174 0.243 0.174 1
Nd1 Nd 0.000 0.257 0.500 1
Nd2 Nd 0.000 0.500 0.000 1
Ho1 Ho 0.212 0.000 0.855 1
```

---

*ii*
The following is a DFT calculation (PBE) of an optimized crystal structure of Pm8Nd3Ho2.

## Properties
- crystal system = monoclinic
- N(E_F) (states/eV/cell) = 39.76

The structure in CIF format:
```
data_Pm8Nd3Ho2
_chemical_formula_sum 'Pm16 Nd6 Ho4'
_cell_length_a 20.436
_cell_length_b 7.748
_cell_length_c 5.794
_cell_angle_alpha 90.00
_cell_angle_beta 90.03
_cell_angle_gamma 90.00
_symmetry_space_group_name_H-M 'C 1 2/m 1'
_symmetry_Int_Tables_number 12
_symmetry_space_group_name_Hall '-C 2y'
loop_
_atom_site_label
_atom_site_type_symbol
_atom_site_fract_x
_atom_site_fract_y
_atom_site_fract_z
_atom_site_occupancy
Pm1 Pm 0.108 0.208 0.000 1
Pm2 Pm 0.135 0.500 0.500 1
Pm3 Pm 0.174 0.000 0.501 1
Nd1 Nd 0.000 0.211 0.500 1
Nd2 Nd 0.000 0.500 0.000 1
Ho1 Ho 0.241 0.500 0.999 1
```

---

The most stable arrangement is *i*, and the next structure is 63 meV/atom less stable.

---

*i*
The following is a DFT calculation (PBE) of an optimized crystal structure of PmNd2Ho7.

## Properties
- crystal system = triclinic
- N(E_F) (states/eV/cell) = 13.93

The structure in CIF format:
```
data_PmNd2Ho7
_chemical_formula_sum 'Pm1 Nd2 Ho7'
_cell_length_a 6.165
_cell_length_b 7.127
_cell_length_c 7.987
_cell_angle_alpha 77.01
_cell_angle_beta 75.07
_cell_angle_gamma 73.51
_symmetry_space_group_name_H-M 'P -1'
_symmetry_Int_Tables_number 2
_symmetry_space_group_name_Hall '-P 1'
loop_
_atom_site_label
_atom_site_type_symbol
_atom_site_fract_x
_atom_site_fract_y
_atom_site_fract_z
_atom_site_occupancy
Pm1 Pm 0.000 0.000 0.000 1
Nd1 Nd 0.202 0.798 0.600 1
Ho1 Ho 0.000 0.500 0.000 1
Ho2 Ho 0.199 0.301 0.601 1
Ho3 Ho 0.400 0.101 0.199 1
Ho4 Ho 0.400 0.600 0.198 1
```

---

*ii*
The following is a DFT calculation (PBE) of an optimized crystal structure of PmNd2Ho7.

## Properties
- crystal system = orthorhombic
- N(E_F) (states/eV/cell) = 33.55

The structure in CIF format:
```
data_PmNd2Ho7
_chemical_formula_sum 'Pm2 Nd4 Ho14'
_cell_length_a 6.506
_cell_length_b 28.890
_cell_length_c 3.514
_cell_angle_alpha 90.00
_cell_angle_beta 90.00
_cell_angle_gamma 90.00
_symmetry_space_group_name_H-M 'C m m m'
_symmetry_Int_Tables_number 65
_symmetry_space_group_name_Hall '-C 2 2'
loop_
_atom_site_label
_atom_site_type_symbol
_atom_site_fract_x
_atom_site_fract_y
_atom_site_fract_z
_atom_site_occupancy
Pm1 Pm 0.000 0.000 0.000 1
Nd1 Nd 0.000 0.292 0.500 1
Ho1 Ho 0.000 0.185 0.000 1
Ho2 Ho 0.000 0.500 0.500 1
Ho3 Ho 0.247 0.099 0.500 1
```

---

The most stable arrangement is *i*, and the next structure is 145 meV/atom less stable.